# CsNaH6Pt, optimized geometry, DFT GGA-PBE
# VASP energy: -31.445 eV/cell
# Crystal system: trigonal
# M_tot: 0.00 μB/f.u.
data_CsNaH6Pt
_space_group_name_H-M_alt 'P 3 1 2'
_space_group_IT_number 149
_space_group_name_Hall 'P 3 2'
_cell_length_a 5.4015
_cell_length_b 5.4015
_cell_length_c 5.9153
_cell_angle_alpha 90.00
_cell_angle_beta 90.00
_cell_angle_gamma 120.00
loop_
_atom_site_label
_atom_site_type_symbol
_atom_site_fract_x
_atom_site_fract_y
_atom_site_fract_z
Cs1 Cs 0.0000 0.0000 0.0000
Na1 Na 0.3333 0.6667 0.5000
H1 H 0.4216 0.0890 0.6665
Pt1 Pt 0.6667 0.3333 0.5000